(1)
Below is an optimized crystal structure of La5YN5, with properties calculated at the PBE level.

Properties
Energy relative to the elements, uncorrected: -1.25 eV per atom
Electronic total energy: -86.43 eV/cell
Spin magnetization: 0.0 μB/f.u.
Symmetry: C2/m

abc: 6.378 6.378 7.374
angles: 106.95 106.95 48.60
Atoms (fractional coordinates):
1 La 0.000 0.000 0.000
2 La 0.330 0.330 0.176
3 La 0.330 0.330 0.656
4 La 0.670 0.670 0.344
5 La 0.670 0.670 0.824
6 Y 0.000 0.000 0.500
7 N 0.158 0.158 0.823
8 N 0.167 0.167 0.340
9 N 0.500 0.500 0.500
10 N 0.833 0.833 0.660
11 N 0.842 0.842 0.177

(2)
Below is an optimized crystal structure of LaY3N4, with properties calculated at the PBE level.

Properties
Energy relative to the elements, uncorrected: -1.57 eV per atom
Electronic total energy: -140.30 eV/cell
Spin magnetization: 0.0 μB/f.u.
Symmetry: P2/c

abc: 6.151 7.111 6.142
angles: 90.00 109.49 90.00
Atoms (fractional coordinates):
1 La 0.000 0.127 0.250
2 La 0.000 0.873 0.750
3 Y 0.000 0.378 0.750
4 Y 0.000 0.622 0.250
5 Y 0.500 0.131 0.750
6 Y 0.500 0.376 0.250
7 Y 0.500 0.624 0.750
8 Y 0.500 0.869 0.250
9 N 0.252 0.379 0.507
10 N 0.252 0.621 0.007
11 N 0.261 0.135 0.997
12 N 0.261 0.865 0.497
13 N 0.739 0.135 0.503
14 N 0.739 0.865 0.003
15 N 0.748 0.379 0.993
16 N 0.748 0.621 0.493

(3)
Below is an optimized crystal structure of LaYN, with properties calculated at the PBE level.

Properties
Energy relative to the elements, uncorrected: -0.60 eV per atom
Electronic total energy: -21.52 eV/cell
Spin magnetization: 0.0 μB/f.u.
Energy above the lowest structure with this stoichiometry: 342.8 meV/atom
Symmetry: Fmm2

abc: 7.468 6.908 3.728
angles: 83.47 66.80 29.73
Atoms (fractional coordinates):
1 La 0.000 0.000 0.000
2 Y 0.756 0.756 0.244
3 N 0.369 0.369 0.631

(4)
Below is an optimized crystal structure of La2Y4N, with properties calculated at the PBE level.

Properties
Energy relative to the elements, uncorrected: -0.27 eV per atom
Electronic total energy: -45.95 eV/cell
Spin magnetization: 0.0 μB/f.u.
Symmetry: I4/mmm

abc: 9.795 9.795 9.795
angles: 151.45 151.45 40.81
Atoms (fractional coordinates):
1 La 0.177 0.177 0.000
2 La 0.823 0.823 0.000
3 Y 0.000 0.500 0.500
4 Y 0.372 0.372 0.000
5 Y 0.500 0.000 0.500
6 Y 0.628 0.628 0.000
7 N 0.500 0.500 0.000

(5)
Below is an optimized crystal structure of La5YN6, with properties calculated at the PBE level.

Properties
Energy relative to the elements, uncorrected: -1.36 eV per atom
Electronic total energy: -97.36 eV/cell
Spin magnetization: 0.0 μB/f.u.
Symmetry: C2/m

abc: 6.428 6.428 6.412
angles: 99.53 99.53 120.06
Atoms (fractional coordinates):
1 La 0.000 0.000 0.000
2 La 0.167 0.833 0.500
3 La 0.336 0.664 0.000
4 La 0.664 0.336 0.000
5 La 0.833 0.167 0.500
6 Y 0.500 0.500 0.500
7 N 0.097 0.419 0.256
8 N 0.260 0.260 0.748
9 N 0.419 0.097 0.256
10 N 0.581 0.903 0.744
11 N 0.740 0.740 0.252
12 N 0.903 0.581 0.744

(6)
Below is an optimized crystal structure of La4Y2N, with properties calculated at the PBE level.

Properties
Energy relative to the elements, uncorrected: -0.20 eV per atom
Electronic total energy: -42.35 eV/cell
Spin magnetization: 0.0 μB/f.u.
Symmetry: I4/mmm

abc: 9.573 9.573 9.573
angles: 148.87 148.87 44.60
Atoms (fractional coordinates):
1 La 0.000 0.500 0.500
2 La 0.136 0.136 0.000
3 La 0.500 0.000 0.500
4 La 0.864 0.864 0.000
5 Y 0.339 0.339 0.000
6 Y 0.661 0.661 0.000
7 N 0.000 0.000 0.000

(7)
Below is an optimized crystal structure of La2YN3, with properties calculated at the PBE level.

Properties
Energy relative to the elements, uncorrected: -1.41 eV per atom
Electronic total energy: -49.73 eV/cell
Spin magnetization: 0.0 μB/f.u.
Symmetry: I4/mmm

abc: 8.288 8.288 8.288
angles: 154.52 154.52 36.34
Atoms (fractional coordinates):
1 La 0.160 0.160 0.000
2 La 0.840 0.840 0.000
3 Y 0.500 0.500 0.000
4 N 0.000 0.000 0.000
5 N 0.347 0.347 0.000
6 N 0.653 0.653 0.000

(8)
Below is an optimized crystal structure of LaY3N, with properties calculated at the PBE level.

Properties
Energy relative to the elements, uncorrected: 1.89 eV per atom
Electronic total energy: -23.19 eV/cell
Spin magnetization: 1.6 μB/f.u.
Energy above the lowest structure with this stoichiometry: 2354.0 meV/atom
Symmetry: Pm-3m

abc: 5.661 5.661 5.661
angles: 90.00 90.00 90.00
Atoms (fractional coordinates):
1 La 0.000 0.000 0.000
2 Y 0.000 0.000 0.500
3 Y 0.000 0.500 0.000
4 Y 0.500 0.000 0.000
5 N 0.500 0.500 0.500

(9)
Below is an optimized crystal structure of LaY3N, with properties calculated at the PBE level.

Properties
Energy relative to the elements, uncorrected: -0.46 eV per atom
Electronic total energy: -34.96 eV/cell
Spin magnetization: 0.0 μB/f.u.
Energy above the lowest structure with this stoichiometry: 0.0 meV/atom
Symmetry: Pm-3m

abc: 5.021 5.021 5.021
angles: 90.00 90.00 90.00
Atoms (fractional coordinates):
1 La 0.000 0.000 0.000
2 Y 0.000 0.500 0.500
3 Y 0.500 0.000 0.500
4 Y 0.500 0.500 0.000
5 N 0.500 0.500 0.500

(10)
Below is an optimized crystal structure of LaY5N6, with properties calculated at the PBE level.

Properties
Energy relative to the elements, uncorrected: -1.60 eV per atom
Electronic total energy: -106.45 eV/cell
Spin magnetization: 0.0 μB/f.u.
Symmetry: C2/m

abc: 6.112 6.112 6.105
angles: 99.60 99.60 120.00
Atoms (fractional coordinates):
1 La 0.000 0.000 0.000
2 Y 0.168 0.832 0.500
3 Y 0.334 0.666 0.000
4 Y 0.500 0.500 0.500
5 Y 0.666 0.334 0.000
6 Y 0.832 0.168 0.500
7 N 0.085 0.428 0.254
8 N 0.258 0.258 0.746
9 N 0.428 0.085 0.254
10 N 0.572 0.915 0.746
11 N 0.742 0.742 0.254
12 N 0.915 0.572 0.746

(11)
Below is an optimized crystal structure of LaYN, with properties calculated at the PBE level.

Properties
Energy relative to the elements, uncorrected: -0.95 eV per atom
Electronic total energy: -22.55 eV/cell
Spin magnetization: 0.6 μB/f.u.
Energy above the lowest structure with this stoichiometry: 0.0 meV/atom
Symmetry: P3m1

abc: 3.579 3.579 6.446
angles: 90.00 90.00 120.00
Atoms (fractional coordinates):
1 La 0.000 0.000 0.000
2 Y 0.333 0.667 0.429
3 N 0.667 0.333 0.243

(12)
Below is an optimized crystal structure of LaY2ZnN, with properties calculated at the PBE level.

Properties
Energy relative to the elements, uncorrected: -0.72 eV per atom
Electronic total energy: -31.08 eV/cell
Spin magnetization: 0.0 μB/f.u.
Symmetry: P4/mmm

abc: 4.808 4.808 5.071
angles: 90.00 90.00 90.00
Atoms (fractional coordinates):
1 La 0.000 0.000 0.000
2 Y 0.000 0.500 0.500
3 Y 0.500 0.000 0.500
4 Zn 0.500 0.500 0.000
5 N 0.000 0.000 0.500

(13)
Below is an optimized crystal structure of La2YZnN, with properties calculated at the PBE level.

Properties
Energy relative to the elements, uncorrected: -0.69 eV per atom
Electronic total energy: -29.35 eV/cell
Spin magnetization: 0.0 μB/f.u.
Symmetry: P4/mmm

abc: 5.123 5.123 4.748
angles: 90.00 90.00 90.00
Atoms (fractional coordinates):
1 La 0.000 0.500 0.000
2 La 0.500 0.000 0.000
3 Y 0.000 0.000 0.500
4 Zn 0.500 0.500 0.500
5 N 0.000 0.000 0.000

(14)
Below is an optimized crystal structure of La2YZrN, with properties calculated at the PBE level.

Properties
Energy relative to the elements, uncorrected: -0.53 eV per atom
Electronic total energy: -35.85 eV/cell
Spin magnetization: 0.0 μB/f.u.
Symmetry: P4/mmm

abc: 5.371 5.371 4.433
angles: 90.00 90.00 90.00
Atoms (fractional coordinates):
1 La 0.000 0.500 0.000
2 La 0.500 0.000 0.000
3 Y 0.000 0.000 0.500
4 Zr 0.500 0.500 0.500
5 N 0.500 0.500 0.000

(15)
Below is an optimized crystal structure of La2YZrN4, with properties calculated at the PBE level.

Properties
Energy relative to the elements, uncorrected: -1.50 eV per atom
Electronic total energy: -70.19 eV/cell
Spin magnetization: 0.0 μB/f.u.
Symmetry: P2/m

abc: 6.076 3.505 6.217
angles: 90.00 108.87 90.00
Atoms (fractional coordinates):
1 La 0.000 0.000 0.000
2 La 0.500 0.500 0.000
3 Y 0.000 0.500 0.500
4 Zr 0.500 0.000 0.500
5 N 0.255 0.000 0.723
6 N 0.271 0.500 0.282
7 N 0.729 0.500 0.718
8 N 0.745 0.000 0.277

(16)
Below is an optimized crystal structure of LaYZrN3, with properties calculated at the PBE level.

Properties
Energy relative to the elements, uncorrected: -1.50 eV per atom
Electronic total energy: -107.82 eV/cell
Spin magnetization: 0.0 μB/f.u.
Symmetry: P2_1/m

abc: 6.003 3.512 8.956
angles: 90.00 102.56 90.00
Atoms (fractional coordinates):
1 La 0.151 0.250 0.195
2 La 0.849 0.750 0.805
3 Y 0.268 0.750 0.544
4 Y 0.732 0.250 0.456
5 Zr 0.362 0.250 0.857
6 Zr 0.638 0.750 0.143
7 N 0.059 0.250 0.671
8 N 0.274 0.750 0.979
9 N 0.458 0.750 0.335
10 N 0.542 0.250 0.665
11 N 0.726 0.250 0.021
12 N 0.941 0.750 0.329

(17)
Below is an optimized crystal structure of LaY2ZrN4, with properties calculated at the PBE level.

Properties
Energy relative to the elements, uncorrected: -1.55 eV per atom
Electronic total energy: -72.12 eV/cell
Spin magnetization: 0.0 μB/f.u.
Symmetry: P2/m

abc: 5.996 3.472 6.085
angles: 90.00 109.20 90.00
Atoms (fractional coordinates):
1 La 0.000 0.000 0.000
2 Y 0.500 0.000 0.500
3 Y 0.500 0.500 0.000
4 Zr 0.000 0.500 0.500
5 N 0.241 0.000 0.731
6 N 0.249 0.500 0.273
7 N 0.751 0.500 0.727
8 N 0.759 0.000 0.269

(18)
Below is an optimized crystal structure of La2ZnN, with properties calculated at the PBE level.

Properties
Energy relative to the elements, uncorrected: -0.70 eV per atom
Electronic total energy: -44.50 eV/cell
Spin magnetization: 0.0 μB/f.u.
Energy above the lowest structure with this stoichiometry: 0.0 meV/atom
Symmetry: Ima2

abc: 6.896 6.896 6.896
angles: 136.40 82.70 113.76
Atoms (fractional coordinates):
1 La 0.108 0.250 0.358
2 La 0.168 0.602 0.066
3 La 0.536 0.102 0.934
4 La 0.892 0.750 0.642
5 Zn 0.512 0.335 0.677
6 Zn 0.658 0.835 0.323
7 N 0.171 0.804 0.868
8 N 0.936 0.304 0.132

(19)
Below is an optimized crystal structure of LaZnN3, with properties calculated at the PBE level.

Properties
Energy relative to the elements, uncorrected: 1.57 eV per atom
Electronic total energy: -23.35 eV/cell
Spin magnetization: 0.1 μB/f.u.
Symmetry: Pm-3m

abc: 4.309 4.309 4.309
angles: 90.00 90.00 90.00
Atoms (fractional coordinates):
1 La 0.000 0.000 0.000
2 Zn 0.500 0.500 0.500
3 N 0.000 0.000 0.500
4 N 0.000 0.500 0.000
5 N 0.500 0.000 0.000

(20)
Below is an optimized crystal structure of LaZnN, with properties calculated at the PBE level.

Properties
Energy relative to the elements, uncorrected: -0.71 eV per atom
Electronic total energy: -33.33 eV/cell
Spin magnetization: 0.0 μB/f.u.
Symmetry: I4/mmm

abc: 8.849 8.849 8.849
angles: 155.10 155.10 35.50
Atoms (fractional coordinates):
1 La 0.177 0.177 0.000
2 La 0.823 0.823 0.000
3 Zn 0.433 0.433 0.000
4 Zn 0.567 0.567 0.000
5 N 0.318 0.318 0.000
6 N 0.682 0.682 0.000